1.
10
Lattice="3.659 0.000 0.000 0.000 3.659 0.000 0.000 0.000 18.595" Properties=species:S:1:pos:R:3 comment="CeSm4Al5 | the Alexandria database | PBE | optimized geometry" delta_e_f_ev_per_fu=-3.47 mass_density_g_cm3=5.85 total_energy_ev_per_atom=-4.700 pbc="T T T"
Ce 0.000 0.000 0.000
Sm 0.000 0.000 3.751
Sm 0.000 0.000 7.445
Sm 0.000 0.000 11.150
Sm 0.000 0.000 14.844
Al 1.829 1.829 1.905
Al 1.829 1.829 5.593
Al 1.829 1.829 9.298
Al 1.829 1.829 13.003
Al 1.829 1.829 16.690

2.
7
Lattice="2.170 -11.851 0.000 2.170 11.851 0.000 0.000 0.000 3.319" Properties=species:S:1:pos:R:3 comment="Ce2Sm2Al3 | the Alexandria database | PBE | optimized geometry" delta_e_f_ev_per_fu=-1.77 mass_density_g_cm3=6.44 total_energy_ev_per_atom=-4.900 pbc="T T T"
Ce 2.170 6.798 0.000
Ce 2.170 -6.798 0.000
Sm 2.170 10.130 0.000
Sm 2.170 -10.130 0.000
Al 2.170 3.427 1.659
Al 2.170 0.000 1.659
Al 2.170 -3.427 1.659

3.
12
Lattice="2.818 1.627 9.202 -2.818 1.627 9.202 0.000 -3.254 9.202" Properties=species:S:1:pos:R:3 comment="CeSm3Al8 | the Alexandria database | PBE | optimized geometry" delta_e_f_ev_per_fu=-5.91 mass_density_g_cm3=5.29 polymorph_energy_kj_per_mol_atoms=0.0 total_energy_ev_per_atom=-4.662 pbc="T T T"
Ce 0.000 0.000 0.000
Sm 0.000 0.000 10.330
Sm 0.000 0.000 13.811
Sm 0.000 0.000 24.179
Al 0.000 0.000 5.169
Al -1.413 -0.816 21.287
Al 0.000 -1.624 16.677
Al -1.406 0.812 16.677
Al 0.000 0.000 18.984
Al 1.406 0.812 16.677
Al 1.413 -0.816 21.287
Al 0.000 1.632 21.287

4.
4
Lattice="0.000 3.800 3.800 3.800 0.000 3.800 3.800 3.800 0.000" Properties=species:S:1:pos:R:3 comment="CeSmThAl | the Alexandria database | PBE | optimized geometry" delta_e_f_ev_per_fu=0.08 mass_density_g_cm3=8.31 total_energy_ev_per_atom=-5.434 pbc="T T T"
Ce 0.000 0.000 0.000
Sm 5.700 5.700 5.700
Th 1.900 1.900 1.900
Al 3.800 3.800 3.800